[1]
VASP calculation (GGA-PBE) on Sr2ZnSnN after structural relaxation.

Lattice parameters (Å, degrees): 3.8829 7.5248 9.4593 109.60 90.00 90.00
Atoms (fractional coordinates):
Sr (0.7500, 0.8156, 0.6402)
Sr (0.7500, 0.8108, 0.0279)
Sr (0.2500, 0.1844, 0.3598)
Sr (0.2500, 0.1892, 0.9721)
Zn (0.2500, 0.5597, 0.7629)
Zn (0.7500, 0.4403, 0.2371)
Sn (0.2500, 0.7028, 0.3059)
Sn (0.7500, 0.2972, 0.6941)
N (0.2500, 0.8320, 0.8357)
N (0.7500, 0.1680, 0.1643)

The calculation puts the energy above the lowest structure with this stoichiometry at 0.000 eV per atom. The total energy comes out at -0.29072 Ry per atom. The calculation puts the density of states at the Fermi level at 1.9 states/eV/f.u. The space group is No. 11. The formation energy (no corrections) is -2.811 eV/f.u.

=====

[2]
VASP calculation (GGA-PBE) on SrZr2SnN4 after structural relaxation.

Lattice parameters (Å, degrees): 3.3347 6.1093 12.1477 90.00 90.00 105.84
Atoms (fractional coordinates):
Sr (0.1169, 0.2338, 0.7500)
Sr (0.8831, 0.7662, 0.2500)
Zr (0.3710, 0.7421, 0.5273)
Zr (0.6290, 0.2579, 0.0273)
Zr (0.6290, 0.2579, 0.4727)
Zr (0.3710, 0.7421, 0.9727)
Sn (0.8489, 0.6978, 0.7500)
Sn (0.1511, 0.3022, 0.2500)
N (0.2582, 0.5163, 0.1111)
N (0.7418, 0.4837, 0.6111)
N (0.7418, 0.4837, 0.8889)
N (0.2582, 0.5163, 0.3889)
N (0.0000, 0.0000, 0.5000)
N (0.0000, 0.0000, 0.0000)
N (0.4531, 0.9063, 0.7500)
N (0.5469, 0.0937, 0.2500)

The total energy comes out at -0.56697 Ry per atom. The calculation puts the density of states at the Fermi level at 3.6 states/eV/f.u. The space group is No. 63. The formation energy (no corrections) is -5.630 eV/f.u.

=====

[3]
VASP calculation (GGA-PBE) on TaSnN2 after structural relaxation.

Lattice parameters (Å, degrees): 5.5018 5.5018 6.1213 63.29 63.29 90.00
Atoms (fractional coordinates):
N (0.7417, 0.1250, 0.2500)
N (0.0083, 0.6250, 0.2500)
N (0.3750, 0.2583, 0.7500)
N (0.8750, 0.9917, 0.7500)
Sn (0.5000, 0.5000, 0.0000)
Sn (0.2500, 0.7500, 0.5000)
Ta (0.0000, 0.0000, 0.0000)
Ta (0.7500, 0.2500, 0.5000)

The total energy comes out at -0.61994 Ry per atom. The calculation puts the density of states at the Fermi level at 1.0 states/eV/f.u. The space group is No. 122. The formation energy (no corrections) is -1.233 eV/f.u.

=====

[4]
VASP calculation (GGA-PBE) on Ta6SnN after structural relaxation.

Lattice parameters (Å, degrees): 5.8051 5.8211 5.9745 60.90 61.07 60.05
Atoms (fractional coordinates):
Ta (0.9876, 0.4322, 0.7748)
Ta (0.8043, 0.9870, 0.7755)
Ta (0.5693, 0.1946, 0.2248)
Ta (0.1957, 0.0130, 0.2245)
Ta (0.0124, 0.5678, 0.2252)
Ta (0.4307, 0.8054, 0.7752)
Sn (0.5000, 0.5000, 0.5000)
N (0.0000, 0.0000, 0.0000)

The total energy comes out at -0.75282 Ry per atom. The calculation puts the density of states at the Fermi level at 4.3 states/eV/f.u. The space group is No. 2. The formation energy (no corrections) is 1.503 eV/f.u.

=====

[5]
VASP calculation (GGA-PBE) on Ta2SnN after structural relaxation.

Lattice parameters (Å, degrees): 3.2111 3.2111 7.3288 77.35 77.35 60.00
Atoms (fractional coordinates):
N (0.0000, 0.0000, 0.0000)
Sn (0.5000, 0.5000, 0.5000)
Ta (0.2799, 0.2799, 0.1603)
Ta (0.7201, 0.7201, 0.8397)

The calculation puts the energy above the lowest structure with this stoichiometry at 0.000 eV per atom. The total energy comes out at -0.68847 Ry per atom. The calculation puts the density of states at the Fermi level at 2.8 states/eV/f.u. The space group is No. 166. The formation energy (no corrections) is -1.435 eV/f.u.

=====

[6]
VASP calculation (GGA-PBE) on TaSnN after structural relaxation.

Lattice parameters (Å, degrees): 3.4678 6.9192 9.8805 87.48 79.89 75.49
Atoms (fractional coordinates):
N (0.1744, 0.5000, 0.6511)
N (0.3256, 0.5000, 0.3489)
N (0.5756, 0.0000, 0.8489)
N (0.4244, 0.0000, 0.1511)
Ta (0.6319, 0.5000, 0.7363)
Ta (0.8681, 0.5000, 0.2637)
Ta (0.1181, 0.0000, 0.7637)
Ta (0.8819, 0.0000, 0.2363)
Sn (0.9048, 0.1903, 0.5000)
Sn (0.5952, 0.8097, 0.5000)
Sn (0.8452, 0.3097, 0.0000)
Sn (0.1548, 0.6903, 0.0000)

The total energy comes out at -0.58231 Ry per atom. The calculation puts the density of states at the Fermi level at 1.3 states/eV/f.u. The space group is No. 70. The formation energy (no corrections) is 0.413 eV/f.u.

=====

[7]
VASP calculation (GGA-PBE) on TaSnN2 after structural relaxation.

Lattice parameters (Å, degrees): 7.1207 7.1207 7.1207 25.64 25.64 25.64
Atoms (fractional coordinates):
N (0.8855, 0.8855, 0.8855)
N (0.1145, 0.1145, 0.1145)
Sn (0.0000, 0.0000, 0.0000)
Ta (0.5000, 0.5000, 0.5000)

The total energy comes out at -0.63884 Ry per atom. The calculation puts the density of states at the Fermi level at 0.6 states/eV/f.u. The space group is No. 166. The formation energy (no corrections) is -2.261 eV/f.u.

=====

[8]
VASP calculation (GGA-PBE) on Ta2SnN after structural relaxation.

Lattice parameters (Å, degrees): 4.5027 4.5027 4.5027 60.00 60.00 60.00
Atoms (fractional coordinates):
N (0.0000, 0.0000, 0.0000)
Sn (0.5000, 0.5000, 0.5000)
Ta (0.2500, 0.2500, 0.2500)
Ta (0.7500, 0.7500, 0.7500)

The calculation puts the energy above the lowest structure with this stoichiometry at 1.235 eV per atom. The total energy comes out at -0.59767 Ry per atom. The calculation puts the density of states at the Fermi level at 2.3 states/eV/f.u. The space group is No. 225. The formation energy (no corrections) is 3.507 eV/f.u.

=====

[9]
VASP calculation (GGA-PBE) on TaSn3N after structural relaxation.

Lattice parameters (Å, degrees): 5.3910 5.3910 5.3910 90.00 90.00 90.00
Site moments in Bohr magnetons follow the coordinates.
Atoms (fractional coordinates):
N (0.5000, 0.5000, 0.5000)  1.75
Sn (0.0000, 0.5000, 0.0000)  0.03
Sn (0.0000, 0.0000, 0.5000)  0.02
Sn (0.5000, 0.0000, 0.0000)  0.02
Ta (0.0000, 0.0000, 0.0000)  0.22

The calculation puts the energy above the lowest structure with this stoichiometry at 0.511 eV per atom. The total energy comes out at -0.37867 Ry per atom. The calculation puts the density of states at the Fermi level at 2.2 states/eV/f.u. The space group is No. 221. The formation energy (no corrections) is 6.426 eV/f.u.

=====

[10]
VASP calculation (GGA-PBE) on TaSn3N after structural relaxation.

Lattice parameters (Å, degrees): 4.6188 4.6188 4.6188 90.00 90.00 90.00
Atoms (fractional coordinates):
N (0.0000, 0.0000, 0.0000)
Sn (0.0000, 0.5000, 0.0000)
Sn (0.0000, 0.0000, 0.5000)
Sn (0.5000, 0.0000, 0.0000)
Ta (0.5000, 0.5000, 0.5000)

The calculation puts the energy above the lowest structure with this stoichiometry at 0.000 eV per atom. The total energy comes out at -0.41625 Ry per atom. The calculation puts the density of states at the Fermi level at 4.0 states/eV/f.u. The space group is No. 221. The formation energy (no corrections) is 3.870 eV/f.u.

=====

[11]
VASP calculation (GGA-PBE) on Ta2SnN after structural relaxation.

Lattice parameters (Å, degrees): 5.3442 5.3442 6.8190 66.93 66.93 90.00
Atoms (fractional coordinates):
N (0.5000, 0.5000, 0.0000)
N (0.2500, 0.7500, 0.5000)
Sn (0.0000, 0.0000, 0.0000)
Sn (0.7500, 0.2500, 0.5000)
Ta (0.4845, 0.1250, 0.2500)
Ta (0.2655, 0.6250, 0.2500)
Ta (0.3750, 0.5155, 0.7500)
Ta (0.8750, 0.7345, 0.7500)

The calculation puts the energy above the lowest structure with this stoichiometry at 0.465 eV per atom. The total energy comes out at -0.65430 Ry per atom. The calculation puts the density of states at the Fermi level at 3.3 states/eV/f.u. The space group is No. 122. The formation energy (no corrections) is 0.424 eV/f.u.

=====

[12]
VASP calculation (GGA-PBE) on TaSnTeN2 after structural relaxation.

Lattice parameters (Å, degrees): 4.1519 4.1519 5.7076 90.00 90.00 90.00
Atoms (fractional coordinates):
N (0.0000, 0.5000, 0.0000)
N (0.5000, 0.0000, 0.0000)
Te (0.0000, 0.0000, 0.5000)
Sn (0.5000, 0.5000, 0.5000)
Ta (0.0000, 0.0000, 0.0000)

The calculation puts the energy above the lowest structure with this stoichiometry at 0.000 eV per atom. The total energy comes out at -0.50585 Ry per atom. The calculation puts the density of states at the Fermi level at 2.9 states/eV/f.u. The space group is No. 123. The formation energy (no corrections) is 1.236 eV/f.u.